{"formula": "Rb2MnNbF6", "functional": "PBE with a Hubbard U", "state": "relaxed", "cell": [[-1.159, 5.721, -2.090], [-5.948, -1.521, -0.864], [-4.479, 3.404, 2.605]], "species": ["Nb", "Mn", "Rb", "Rb", "F", "F", "F", "F", "F", "F"], "fractional_positions": [[0.000, 0.000, 0.000], [0.500, 0.500, 0.000], [0.750, 0.250, 0.500], [0.250, 0.750, 0.500], [0.256, 0.256, 0.487], [0.744, 0.744, 0.513], [0.256, 0.256, 0.000], [0.744, 0.744, 0.000], [0.744, 0.256, 0.000], [0.256, 0.744, 0.000]], "sg": "Fm-3m, No. 225", "magnetic_moment_mub_per_fu": 8.000, "density_kg_m3": 4265, "final_energy_ev_per_fu": -55.763}